Here is a relaxed structure of DyY3Ho2Tm6 from Alexandria via LeMat-Bulk. Energies are from PBE.

Cell lengths 6.092, 6.092, 11.663 Å; angles 94.99, 94.99, 119.93 degrees
Positions (direct):
Dy 0.000 0.000 0.000
Y 0.167 0.833 0.500
Y 0.833 0.167 0.500
Y 0.500 0.500 0.500
Ho 0.333 0.667 0.000
Ho 0.667 0.333 0.000
Tm 0.917 0.584 0.751
Tm 0.749 0.749 0.249
Tm 0.083 0.416 0.249
Tm 0.584 0.917 0.751
Tm 0.251 0.251 0.751
Tm 0.416 0.083 0.249

Computed properties:
Total magnetization (μB per atom): 0.000
E_form (kJ/mol of formula units): 30.9
Total energy (eV/atom): -4.97
Symmetry: No. 12

---

Here is a relaxed structure of Ni3PdN from Alexandria via LeMat-Bulk. Energies are from PBE.

Cell lengths 5.368, 5.255, 5.110 Å; angles 53.77, 74.47, 74.20 degrees
Positions (direct):
Ni 0.313 0.786 0.478
Ni 0.063 0.269 0.986
Ni 0.936 0.845 0.891
Ni 0.436 0.858 0.904
Ni 0.697 0.353 0.392
Ni 0.805 0.779 0.476
Pd 0.565 0.299 0.956
Pd 0.194 0.368 0.413
N 0.626 0.792 0.195
N 0.995 0.053 0.433

Computed properties:
Uncorrected formation energy (meV/atom): 79
Total magnetization (μB per atom): 0.000
Total energy (eV/atom): -6.09
Symmetry: No. 1